[1]
## Sr2MgHg (PBE)

Data for an optimized crystal structure of Sr2MgHg.

Geometry as POSCAR:
```
Sr2MgHg
1.0
6.4527 -2.0007 0.0000
6.4527 2.0007 0.0000
-2.4039 0.0000 5.3211
Sr Mg Hg
2 1 1
direct
0.0000 0.0000 0.0000 Sr
0.2013 0.2013 0.6830 Sr
0.4206 0.4206 0.4223 Mg
0.7382 0.7382 0.2103 Hg
```

Calculated values
As for the crystal system: monoclinic. The spin magnetization comes out at 0.00 μB per formula unit. The density of states at the Fermi level comes out at 2.8 states/eV/f.u. The calculation puts the formation energy at -0.251 eV/atom. The value obtained for the calculated volume is 137.4 Å³ per cell. Its offset from the most stable computed form is 48 meV/atom.

[2]
## Sr2MgHg (PBE)

Data for an optimized crystal structure of Sr2MgHg.

Geometry as POSCAR:
```
Sr2MgHg
1.0
4.0549 0.0000 0.0000
0.0000 4.0345 0.0000
-0.0239 0.0000 8.3478
Sr Mg Hg
2 1 1
direct
0.9998 0.0000 0.2344 Sr
0.0002 0.0000 0.7656 Sr
0.5000 0.5000 0.5000 Mg
0.5000 0.5000 0.0000 Hg
```

Calculated values
As for the crystal system: monoclinic. The spin magnetization comes out at 0.00 μB per formula unit. The density of states at the Fermi level comes out at 3.0 states/eV/f.u. The calculation puts the formation energy at -0.299 eV/atom. The value obtained for the calculated volume is 136.6 Å³ per cell. Its offset from the most stable computed form is 0 meV/atom.

[3]
## SrMgHg (PBE)

Data for an optimized crystal structure of SrMgHg.

Geometry as POSCAR:
```
SrMgHg
1.0
5.0020 0.0000 0.0000
-2.5010 4.3319 0.0000
0.0000 0.0000 4.2471
Sr Mg Hg
1 1 1
direct
0.0000 0.0000 0.0000 Sr
0.3333 0.6667 0.5000 Mg
0.6667 0.3333 0.5000 Hg
```

Calculated values
As for the crystal system: hexagonal. The spin magnetization comes out at 0.00 μB per formula unit. The density of states at the Fermi level comes out at 2.2 states/eV/f.u. The calculation puts the formation energy at -0.339 eV/atom. The value obtained for the calculated volume is 92.0 Å³ per cell.

[4]
## Sr3Mg6Hg5 (PBE)

Data for an optimized crystal structure of Sr3Mg6Hg5.

Geometry as POSCAR:
```
Sr3Mg6Hg5
1.0
4.6206 0.0000 0.0000
0.0000 14.1943 0.0000
0.0000 0.0000 11.6608
Sr Mg Hg
6 12 10
direct
0.2500 0.0827 0.2440 Sr
0.2500 0.4173 0.2440 Sr
0.2500 0.7500 0.2634 Sr
0.7500 0.2500 0.7366 Sr
0.7500 0.5827 0.7560 Sr
0.7500 0.9173 0.7560 Sr
0.2500 0.0601 0.5879 Mg
0.2500 0.2500 0.4750 Mg
0.2500 0.2500 0.9952 Mg
0.2500 0.4399 0.5879 Mg
0.2500 0.5835 0.0034 Mg
0.2500 0.9165 0.0034 Mg
0.7500 0.0835 0.9966 Mg
0.7500 0.4165 0.9966 Mg
0.7500 0.5601 0.4121 Mg
0.7500 0.7500 0.0048 Mg
0.7500 0.7500 0.5250 Mg
0.7500 0.9399 0.4121 Mg
0.2500 0.0852 0.8397 Hg
0.2500 0.4148 0.8397 Hg
0.2500 0.6357 0.5407 Hg
0.2500 0.7500 0.8444 Hg
0.2500 0.8643 0.5407 Hg
0.7500 0.1357 0.4593 Hg
0.7500 0.2500 0.1556 Hg
0.7500 0.3643 0.4593 Hg
0.7500 0.5852 0.1603 Hg
0.7500 0.9148 0.1603 Hg
```

Calculated values
As for the crystal system: orthorhombic. The spin magnetization comes out at 0.00 μB per formula unit. The density of states at the Fermi level comes out at 6.4 states/eV/f.u. The calculation puts the formation energy at -0.342 eV/atom. The value obtained for the calculated volume is 764.8 Å³ per cell.

[5]
## Sr2MgHg (PBE)

Data for an optimized crystal structure of Sr2MgHg.

Geometry as POSCAR:
```
Sr2MgHg
1.0
4.8155 -2.1612 0.0000
4.8155 2.1612 0.0000
-1.9188 0.0000 7.5875
Sr Mg Hg
2 1 1
direct
0.2427 0.2427 0.2328 Sr
0.7573 0.7573 0.7672 Sr
0.0000 0.0000 0.5000 Mg
0.5000 0.5000 0.0000 Hg
```

Calculated values
As for the crystal system: monoclinic. The spin magnetization comes out at 0.00 μB per formula unit. The density of states at the Fermi level comes out at 3.4 states/eV/f.u. The calculation puts the formation energy at -0.115 eV/atom. The value obtained for the calculated volume is 157.9 Å³ per cell. Its offset from the most stable computed form is 184 meV/atom.

[6]
## Sr2MgHg (PBE)

Data for an optimized crystal structure of Sr2MgHg.

Geometry as POSCAR:
```
Sr2MgHg
1.0
0.0000 4.0845 4.0845
4.0845 0.0000 4.0845
4.0845 4.0845 0.0000
Sr Mg Hg
2 1 1
direct
0.2500 0.2500 0.2500 Sr
0.7500 0.7500 0.7500 Sr
0.0000 0.0000 0.0000 Mg
0.5000 0.5000 0.5000 Hg
```

Calculated values
As for the crystal system: cubic. The spin magnetization comes out at 0.00 μB per formula unit. The density of states at the Fermi level comes out at 2.6 states/eV/f.u. The calculation puts the formation energy at -0.275 eV/atom. The value obtained for the calculated volume is 136.3 Å³ per cell. Its offset from the most stable computed form is 24 meV/atom.

[7]
## Sr2Mg15Hg2 (PBE)

Data for an optimized crystal structure of Sr2Mg15Hg2.

Geometry as POSCAR:
```
Sr2Mg15Hg2
1.0
5.2247 3.0165 5.1081
-5.2247 3.0165 5.1081
0.0000 -6.0330 5.1081
Sr Mg Hg
2 15 2
direct
0.1654 0.1654 0.1654 Sr
0.8346 0.8346 0.8346 Sr
0.0000 0.5000 0.5000 Mg
0.1525 0.1525 0.6559 Mg
0.1525 0.6559 0.1525 Mg
0.2037 0.5000 0.7963 Mg
0.2037 0.7963 0.5000 Mg
0.3441 0.8475 0.8475 Mg
0.5000 0.0000 0.5000 Mg
0.5000 0.2037 0.7963 Mg
0.5000 0.5000 0.0000 Mg
0.5000 0.7963 0.2037 Mg
0.6559 0.1525 0.1525 Mg
0.7963 0.2037 0.5000 Mg
0.7963 0.5000 0.2037 Mg
0.8475 0.3441 0.8475 Mg
0.8475 0.8475 0.3441 Mg
0.3928 0.3928 0.3928 Hg
0.6072 0.6072 0.6072 Hg
```

Calculated values
As for the crystal system: trigonal. The spin magnetization comes out at 0.00 μB per formula unit. The density of states at the Fermi level comes out at 8.8 states/eV/f.u. The calculation puts the formation energy at -0.093 eV/atom. The value obtained for the calculated volume is 483.0 Å³ per cell.

[8]
## SrMgHg6 (PBE)

Data for an optimized crystal structure of SrMgHg6.

Geometry as POSCAR:
```
SrMgHg6
1.0
4.4368 2.5616 3.5664
-4.4368 2.5616 3.5664
0.0000 -5.1232 3.5664
Sr Mg Hg
1 1 6
direct
0.0000 0.0000 0.0000 Sr
0.5000 0.5000 0.5000 Mg
0.1717 0.1717 0.5342 Hg
0.1717 0.5342 0.1717 Hg
0.4658 0.8283 0.8283 Hg
0.5342 0.1717 0.1717 Hg
0.8283 0.4658 0.8283 Hg
0.8283 0.8283 0.4658 Hg
```

Calculated values
As for the crystal system: trigonal. The spin magnetization comes out at 0.00 μB per formula unit. The density of states at the Fermi level comes out at 5.4 states/eV/f.u. The calculation puts the formation energy at -0.136 eV/atom. The value obtained for the calculated volume is 243.2 Å³ per cell. Its offset from the most stable computed form is 61 meV/atom.